[1]
Here is a geometry-optimized RbZn2Te2O6 structure from Alexandria via LeMat-Bulk. Energies are from PBE.

Structure (POSCAR):
```
RbZn2Te2O6
1.0
5.4660 0.0000 0.0000
-0.8592 6.0718 0.0000
-2.2344 -2.4274 6.5164
Rb Zn Te O
1 2 2 6
direct
0.0000 0.0000 0.0000
0.2589 0.8450 0.4979
0.7411 0.1550 0.5021
0.3731 0.4658 0.7502
0.6269 0.5342 0.2498
0.0601 0.2943 0.7574
0.2251 0.7281 0.7131
0.3844 0.1838 0.5293
0.6156 0.8162 0.4707
0.7749 0.2719 0.2869
0.9399 0.7057 0.2426
```

The value obtained for the total DFT energy (no corrections) is -52.00 eV for the cell shown. Its total magnetic moment is 0.000 μB per formula unit. The space group is P-1 (2).

***

[2]
Here is a geometry-optimized RbZn4Te3O12 structure from Alexandria via LeMat-Bulk. Energies are from PBE.

Structure (POSCAR):
```
RbZn4Te3O12
1.0
5.7048 3.2937 2.6998
-5.7048 3.2937 2.6998
0.0000 -6.5874 2.6998
Rb Zn Te O
1 4 3 12
direct
0.0000 0.0000 0.0000
0.0619 0.5000 0.9381
0.5000 0.5000 0.5000
0.5000 0.9381 0.0619
0.9381 0.0619 0.5000
0.0000 0.5566 0.4434
0.4434 0.0000 0.5566
0.5566 0.4434 0.0000
0.0263 0.6296 0.7375
0.1066 0.8934 0.5000
0.2625 0.3704 0.9737
0.3307 0.6693 0.5000
0.3704 0.9737 0.2625
0.5000 0.1066 0.8934
0.5000 0.3307 0.6693
0.6296 0.7375 0.0263
0.6693 0.5000 0.3307
0.7375 0.0263 0.6296
0.8934 0.5000 0.1066
0.9737 0.2625 0.3704
```

The value obtained for the total DFT energy (no corrections) is -97.13 eV for the cell shown. Its total magnetic moment is 0.000 μB per formula unit. The space group is R32 (155).

***

[3]
Here is a geometry-optimized Rb2ZrTe2O6 structure from Alexandria via LeMat-Bulk. Energies are from PBE.

Structure (POSCAR):
```
Rb2ZrTe2O6
1.0
3.2291 1.8643 5.8080
-3.2291 1.8643 5.8080
0.0000 -3.7286 5.8080
Rb Zr Te O
2 1 2 6
direct
0.2082 0.2082 0.2082
0.7918 0.7918 0.7918
0.0000 0.0000 0.0000
0.4088 0.4088 0.4088
0.5912 0.5912 0.5912
0.2259 0.7732 0.7732
0.2268 0.2268 0.7741
0.2268 0.7741 0.2268
0.7732 0.2259 0.7732
0.7732 0.7732 0.2259
0.7741 0.2268 0.2268
```

The value obtained for the total DFT energy (no corrections) is -64.59 eV for the cell shown. Its total magnetic moment is 0.000 μB per formula unit. The space group is R-3m (166).

***

[4]
Here is a geometry-optimized Rb2ZrTeO structure from Alexandria via LeMat-Bulk. Energies are from PBE.

Structure (POSCAR):
```
Rb2ZrTeO
1.0
6.9327 0.0000 0.0000
0.0000 6.9327 0.0000
0.0000 0.0000 5.5183
Rb Zr Te O
2 1 1 1
direct
0.0000 0.5000 0.0000
0.5000 0.0000 0.0000
0.0000 0.0000 0.5000
0.0000 0.0000 0.0000
0.5000 0.5000 0.5000
```

The value obtained for the total DFT energy (no corrections) is -16.91 eV for the cell shown. Its total magnetic moment is 2.723 μB per formula unit. The space group is P4/mmm (123).

***

[5]
Here is a geometry-optimized RbZrTeO5 structure from Alexandria via LeMat-Bulk. Energies are from PBE.

Structure (POSCAR):
```
RbZrTeO5
1.0
3.8306 -5.0837 0.0000
3.8306 5.0837 0.0000
-3.3005 0.0000 7.2472
Rb Zr Te O
2 2 2 10
direct
0.1749 0.8251 0.7500
0.8251 0.1749 0.2500
0.5000 0.5000 0.0000
0.5000 0.5000 0.5000
0.1884 0.8116 0.2500
0.8116 0.1884 0.7500
0.1317 0.2782 0.9091
0.2122 0.6114 0.3970
0.2782 0.1317 0.4091
0.3886 0.7878 0.1030
0.4506 0.5494 0.7500
0.5494 0.4506 0.2500
0.6114 0.2122 0.8970
0.7218 0.8683 0.5909
0.7878 0.3886 0.6030
0.8683 0.7218 0.0909
```

The value obtained for the total DFT energy (no corrections) is -105.05 eV for the cell shown. Its total magnetic moment is 0.000 μB per formula unit. The space group is C2/c (15).

***

[6]
Here is a geometry-optimized Rb2ZrTeO6 structure from Alexandria via LeMat-Bulk. Energies are from PBE.

Structure (POSCAR):
```
Rb2ZrTeO6
1.0
3.0467 1.7590 9.8208
-3.0467 1.7590 9.8208
0.0000 -3.5180 9.8208
Rb Zr Te O
4 2 2 12
direct
0.1333 0.1333 0.1333
0.2752 0.2752 0.2752
0.7248 0.7248 0.7248
0.8667 0.8667 0.8667
0.4021 0.4021 0.4021
0.5979 0.5979 0.5979
0.0000 0.0000 0.0000
0.5000 0.5000 0.5000
0.1733 0.5990 0.5990
0.1929 0.1929 0.7252
0.1929 0.7252 0.1929
0.2748 0.8071 0.8071
0.4010 0.4010 0.8267
0.4010 0.8267 0.4010
0.5990 0.1733 0.5990
0.5990 0.5990 0.1733
0.7252 0.1929 0.1929
0.8071 0.2748 0.8071
0.8071 0.8071 0.2748
0.8267 0.4010 0.4010
```

The value obtained for the total DFT energy (no corrections) is -125.53 eV for the cell shown. Its total magnetic moment is 0.000 μB per formula unit. The space group is R-3m (166).

***

[7]
Here is a geometry-optimized RbZrTeO6 structure from Alexandria via LeMat-Bulk. Energies are from PBE.

Structure (POSCAR):
```
RbZrTeO6
1.0
5.5872 0.0000 0.0000
-2.7936 4.8387 0.0000
0.0000 0.0000 12.3249
Rb Zr Te O
2 2 2 12
direct
0.0000 0.0000 0.0000
0.0000 0.0000 0.5000
0.3333 0.6667 0.2500
0.6667 0.3333 0.7500
0.3333 0.6667 0.7500
0.6667 0.3333 0.2500
0.0231 0.4078 0.6603
0.0231 0.6153 0.8397
0.3847 0.4078 0.8397
0.3847 0.9769 0.6603
0.4078 0.0231 0.1603
0.4078 0.3847 0.3397
0.5922 0.6153 0.6603
0.5922 0.9769 0.8397
0.6153 0.0231 0.3397
0.6153 0.5922 0.1603
0.9769 0.3847 0.1603
0.9769 0.5922 0.3397
```

The value obtained for the total DFT energy (no corrections) is -116.34 eV for the cell shown. Its total magnetic moment is 1.071 μB per formula unit. The space group is P-31c (163).

***

[8]
Here is a geometry-optimized Rb8ThO6 structure from Alexandria via LeMat-Bulk. Energies are from PBE.

Structure (POSCAR):
```
Rb8ThO6
1.0
3.5575 2.0539 9.8061
-3.5575 2.0539 9.8061
0.0000 -4.1079 9.8061
Rb Th O
8 1 6
direct
0.0524 0.7598 0.4065
0.1666 0.1666 0.1666
0.2402 0.5935 0.9476
0.4065 0.0524 0.7598
0.5935 0.9476 0.2402
0.7598 0.4065 0.0524
0.8334 0.8334 0.8334
0.9476 0.2402 0.5935
0.5000 0.5000 0.5000
0.1816 0.4510 0.7203
0.2797 0.8184 0.5490
0.4510 0.7203 0.1816
0.5490 0.2797 0.8184
0.7203 0.1816 0.4510
0.8184 0.5490 0.2797
```

The value obtained for the total DFT energy (no corrections) is -67.74 eV for the cell shown. Its total magnetic moment is 0.008 μB per formula unit. The space group is R-3 (148).

***

[9]
Here is a geometry-optimized Rb14Th2O9 structure from Alexandria via LeMat-Bulk. Energies are from PBE.

Structure (POSCAR):
```
Rb14Th2O9
1.0
9.2134 0.0000 0.0000
-4.6067 7.9790 0.0000
0.0000 0.0000 10.9477
Rb Th O
14 2 9
direct
0.0000 0.0000 0.2366
0.0000 0.0000 0.7634
0.0567 0.3741 0.5832
0.0813 0.6936 0.9050
0.3064 0.3877 0.9050
0.3175 0.9433 0.5832
0.3741 0.3175 0.4168
0.3877 0.0813 0.0950
0.6123 0.9187 0.9050
0.6259 0.6825 0.5832
0.6825 0.0567 0.4168
0.6936 0.6123 0.0950
0.9187 0.3064 0.0950
0.9433 0.6259 0.4168
0.3333 0.6667 0.2543
0.6667 0.3333 0.7457
0.0000 0.0000 0.0000
0.1331 0.4251 0.3288
0.2920 0.8669 0.3288
0.3333 0.6667 0.0511
0.4251 0.2920 0.6712
0.5749 0.7080 0.3288
0.6667 0.3333 0.9489
0.7080 0.1331 0.6712
0.8669 0.5749 0.6712
```

The value obtained for the total DFT energy (no corrections) is -107.47 eV for the cell shown. Its total magnetic moment is 1.024 μB per formula unit. The space group is P-3 (147).

***

[10]
Here is a geometry-optimized RbThTlO4 structure from Alexandria via LeMat-Bulk. Energies are from PBE.

Structure (POSCAR):
```
RbThTlO4
1.0
-3.5124 3.7162 5.3621
3.5124 -3.7162 5.3621
3.5124 3.7162 -5.3621
Rb Th Tl O
2 2 2 8
direct
0.3884 0.1384 0.2500
0.6116 0.8616 0.7500
0.0000 0.5000 0.5000
0.5000 0.5000 0.0000
0.0000 0.0000 0.5000
0.0000 0.5000 0.0000
0.1696 0.7241 0.4456
0.2215 0.2759 0.9456
0.2425 0.2972 0.5547
0.2425 0.6879 0.9453
0.7575 0.3121 0.0547
0.7575 0.7028 0.4453
0.7785 0.7241 0.0544
0.8304 0.2759 0.5544
```

The value obtained for the total DFT energy (no corrections) is -89.99 eV for the cell shown. Its total magnetic moment is 0.000 μB per formula unit. The space group is Imma (74).

***

[11]
Here is a geometry-optimized Rb2ThUO6 structure from Alexandria via LeMat-Bulk. Energies are from PBE.

Structure (POSCAR):
```
Rb2ThUO6
1.0
0.0000 4.4384 4.4384
4.4384 0.0000 4.4384
4.4384 4.4384 0.0000
Rb Th U O
2 1 1 6
direct
0.2500 0.2500 0.2500
0.7500 0.7500 0.7500
0.0000 0.0000 0.0000
0.5000 0.5000 0.5000
0.2622 0.2622 0.7378
0.2622 0.7378 0.2622
0.2622 0.7378 0.7378
0.7378 0.2622 0.2622
0.7378 0.2622 0.7378
0.7378 0.7378 0.2622
```

The value obtained for the total DFT energy (no corrections) is -80.10 eV for the cell shown. Its total magnetic moment is 0.000 μB per formula unit. The space group is Fm-3m (225).

***

[12]
Here is a geometry-optimized Rb3ThU2O9 structure from Alexandria via LeMat-Bulk. Energies are from PBE.

Structure (POSCAR):
```
Rb3ThU2O9
1.0
6.2397 0.0000 0.0000
-3.1199 5.4038 0.0000
0.0000 0.0000 7.6449
Rb Th U O
3 1 2 9
direct
0.0000 0.0000 0.0000
0.3333 0.6667 0.6672
0.6667 0.3333 0.3328
0.0000 0.0000 0.5000
0.3333 0.6667 0.1626
0.6667 0.3333 0.8374
0.0000 0.5000 0.0000
0.1747 0.3494 0.3220
0.1747 0.8253 0.3220
0.3494 0.1747 0.6780
0.5000 0.0000 0.0000
0.5000 0.5000 0.0000
0.6506 0.8253 0.3220
0.8253 0.1747 0.6780
0.8253 0.6506 0.6780
```

The value obtained for the total DFT energy (no corrections) is -121.65 eV for the cell shown. Its total magnetic moment is 1.000 μB per formula unit. The space group is P-3m1 (164).

***

[13]
Here is a geometry-optimized RbThUO6 structure from Alexandria via LeMat-Bulk. Energies are from PBE.

Structure (POSCAR):
```
RbThUO6
1.0
-4.0756 4.0988 5.7810
4.0756 -4.0988 5.7810
4.0756 4.0988 -5.7810
Rb Th U O
2 2 2 12
direct
0.3455 0.0955 0.2500
0.6545 0.9045 0.7500
0.0000 0.0000 0.5000
0.0000 0.5000 0.0000
0.0000 0.5000 0.5000
0.5000 0.5000 0.0000
0.0711 0.4385 0.2726
0.0711 0.7985 0.6326
0.0794 0.8294 0.2500
0.3013 0.5513 0.7500
0.3341 0.2015 0.7726
0.3341 0.5615 0.1326
0.6659 0.4385 0.8674
0.6659 0.7985 0.2274
0.6987 0.4487 0.2500
0.9206 0.1706 0.7500
0.9289 0.2015 0.3674
0.9289 0.5615 0.7274
```

The value obtained for the total DFT energy (no corrections) is -149.92 eV for the cell shown. Its total magnetic moment is 0.877 μB per formula unit. The space group is Imma (74).